The following is a meta-GGA SCAN calculation of a crystal of LiScSi2 relaxed with PBEsol, from the Alexandria database.

Its theoretical density is 2.79 g cm⁻³. For the formation energy (no corrections), the calculation gives -0.16 eV per atom. The magnetization comes out at 0.00 μB/cell. For the density of states at the Fermi level, the calculation gives 7.41 states/eV/cell. The calculation puts the energy above the most stable polymorph in this dataset at 1.02 eV per formula unit.

It has space group Fm-3m (No. 225), with a = 6.358 Å, b = 6.358 Å, c = 6.358 Å, α = 90.00°, β = 90.00° and γ = 90.00°. The inequivalent atoms are Li at (0.000, 0.000, 0.000), Sc at (0.000, 0.000, 0.500) and Si at (0.250, 0.250, 0.250).